(1)
Material: ReIr3Rh
Method: DFT, GGA-PBE
State: optimized geometry

abc: 4.636 4.636 4.636
angles: 90.00 90.00 90.00
Each line ends with the local moment (μB).
Sites, in units of the cell vectors:
Re 0.500 0.500 0.500  2.35
Ir 0.000 0.500 0.000  -0.09
Ir 0.000 0.000 0.500  -0.26
Ir 0.500 0.000 0.000  0.05
Rh 0.000 0.000 0.000  -0.22

Summary:
The value obtained for the polymorph energy (0 for the lowest one) is 1239 kJ/mol of formula units. Its calculated volume is 100 Å³ per cell. The space-group type is Pm-3m (221). For the formation energy, the calculation gives 2.472 eV/atom. For the density of states at the Fermi level, the calculation gives 1.7696 states/eV/atom.



(2)
Material: Pm2PuCrN5
Method: DFT, GGA-PBE
State: optimized geometry

abc: 3.428 7.106 10.337
angles: 90.00 90.00 103.96
Each line ends with the local moment (μB).
Sites, in units of the cell vectors:
Pm 0.863 0.727 0.802  0.10
Pm 0.109 0.219 0.694  0.06
Pm 0.137 0.273 0.302  0.10
Pm 0.891 0.781 0.194  0.06
Pu 0.793 0.587 0.509  3.78
Pu 0.207 0.413 0.009  3.78
Cr 0.508 0.017 0.964  1.50
Cr 0.492 0.983 0.464  1.50
N 0.374 0.749 0.006  -0.09
N 0.688 0.375 0.877  -0.18
N 0.492 0.984 0.792  -0.03
N 0.285 0.571 0.648  -0.16
N 0.960 0.919 0.531  -0.13
N 0.626 0.251 0.506  -0.09
N 0.312 0.625 0.377  -0.18
N 0.508 0.016 0.292  -0.03
N 0.715 0.429 0.148  -0.16
N 0.040 0.081 0.031  -0.13

Summary:
As for the uncorrected formation energy: -1.07 eV per atom. Its calculated volume is 244 Å³ per cell. The space-group type is Cmc2_1 (36). For the density of states at the Fermi level, the calculation gives 0.7135 states/eV/atom.



(3)
Material: MnCd2Rh
Method: DFT, GGA-PBE
State: optimized geometry

abc: 5.055 5.055 4.056
angles: 66.28 66.28 47.61
Each line ends with the local moment (μB).
Sites, in units of the cell vectors:
Cd 0.000 0.000 0.000  -0.02
Cd 0.500 0.500 0.500  -0.02
Mn 0.750 0.750 0.750  3.87
Rh 0.250 0.250 0.250  0.36

Summary:
The value obtained for the polymorph energy (0 for the lowest one) is 3 kJ/mol of formula units. Its calculated volume is 69 Å³ per cell. The space-group type is Immm (71). For the formation energy, the calculation gives -0.016 eV/atom. For the density of states at the Fermi level, the calculation gives 0.3456 states/eV/atom.



(4)
Material: YBTeN2
Method: DFT, GGA-PBE
State: optimized geometry

abc: 4.019 4.019 4.616
angles: 90.00 90.00 90.00
Each line ends with the local moment (μB).
Sites, in units of the cell vectors:
Y 0.500 0.500 0.500  0.00
B 0.000 0.000 0.000  0.00
Te 0.000 0.000 0.500  0.10
N 0.000 0.500 0.000  0.53
N 0.500 0.000 0.000  0.53

Summary:
The value obtained for the polymorph energy (0 for the lowest one) is 0 kJ/mol of formula units. As for the uncorrected formation energy: 1.08 eV per atom. Its calculated volume is 75 Å³ per cell. The space-group type is P4/mmm (123). For the density of states at the Fermi level, the calculation gives 0.6199 states/eV/atom.



(5)
Material: OsRu2S
Method: DFT, GGA-PBE
State: optimized geometry

abc: 6.362 2.856 8.037
angles: 90.00 125.19 90.00
Sites, in units of the cell vectors:
Ru 0.149 0.000 0.305
Ru 0.149 0.500 0.805
Ru 0.822 0.000 0.442
Ru 0.822 0.500 0.942
S 0.222 0.000 0.057
S 0.222 0.500 0.557
Os 0.597 0.000 0.064
Os 0.597 0.500 0.564

Summary:
As for the uncorrected formation energy: 0.30 eV per atom. Its calculated volume is 119 Å³ per cell. The space-group type is Cm (8). For the density of states at the Fermi level, the calculation gives 0.6395 states/eV/atom.



(6)
Material: Zr2ZnNiAg
Method: DFT, GGA-PBE
State: optimized geometry

abc: 4.812 4.510 4.812
angles: 90.00 90.00 90.00
Sites, in units of the cell vectors:
Ni 0.000 0.000 0.000
Zn 0.000 0.500 0.000
Zr 0.000 0.000 0.500
Zr 0.500 0.000 0.000
Ag 0.500 0.500 0.500

Summary:
Its calculated volume is 104 Å³ per cell. The space-group type is P4/mmm (123). For the formation energy, the calculation gives 0.219 eV/atom. For the density of states at the Fermi level, the calculation gives 1.5599 states/eV/atom.